Below is a geometry-optimized Tb2Dy3Al2 structure, with properties calculated at the PBE-GGA level.

Values from the calculation:
ΔE_f (kJ/mol of formula units): -99
Polymorph energy (0 for the lowest one) (meV/atom): 59

a b c (Å): 4.4219 3.4411 12.6162
angles (deg): 97.82 79.91 90.00
Element x y z (fractional)
Tb 0.7148 0.2853 0.5705
Tb 0.2852 0.7147 0.4295
Dy 0.1309 0.8693 0.7382
Dy 0.8691 0.1307 0.2618
Dy 0.0000 0.0000 0.0000
Al 0.5654 0.4341 0.8692
Al 0.4346 0.5659 0.1308

***

Below is a geometry-optimized TaTl2Mo structure, with properties calculated at the PBE-GGA level.

Values from the calculation:
ΔE_f (kJ/mol of formula units): 161
Polymorph energy (0 for the lowest one) (meV/atom): 0

a b c (Å): 3.0962 3.0962 10.3325
angles (deg): 90.00 90.00 114.58
Element x y z (fractional)
Tl 0.5000 0.5000 0.2809
Tl 0.0000 0.0000 0.9763
Mo 0.0000 0.0000 0.5285
Ta 0.5000 0.5000 0.7143

***

Below is a geometry-optimized ScCrRh2C structure, with properties calculated at the PBE-GGA level.

Values from the calculation:
ΔE_f (kJ/mol of formula units): -149

a b c (Å): 4.1406 4.1406 3.9662
angles (deg): 90.00 90.00 90.00
Each line ends with the local moment (μB).
Element x y z (fractional)
Rh 0.0000 0.5000 0.0000  0.25
Rh 0.5000 0.0000 0.0000  0.25
Sc 0.5000 0.5000 0.5000  -0.03
C 0.0000 0.0000 0.0000  -0.07
Cr 0.0000 0.0000 0.5000  2.07

***

Below is a geometry-optimized Si2HgBr structure, with properties calculated at the PBE-GGA level.

Values from the calculation:
Formation energy (no corrections) (eV/atom): 0.159
Polymorph energy (0 for the lowest one) (meV/atom): 12

a b c (Å): 3.5734 3.5753 7.5158
angles (deg): 90.00 90.00 90.00
Element x y z (fractional)
Br 0.0000 0.0000 0.4712
Hg 0.5000 0.5000 0.7670
Si 0.0000 0.0000 0.1495
Si 0.5000 0.5000 0.1123

***

Below is a geometry-optimized Y2In2S structure, with properties calculated at the PBE-GGA level.

Values from the calculation:
Formation energy (no corrections) (eV/atom): -0.861

a b c (Å): 7.2634 7.2634 5.1181
angles (deg): 90.00 90.00 90.00
Element x y z (fractional)
S 0.0000 0.0000 0.0000
S 0.5000 0.5000 0.0000
In 0.6429 0.8571 0.5000
In 0.8571 0.3571 0.5000
In 0.1429 0.6429 0.5000
In 0.3571 0.1429 0.5000
Y 0.1697 0.3303 0.0000
Y 0.3303 0.8303 0.0000
Y 0.6697 0.1697 0.0000
Y 0.8303 0.6697 0.0000

***

Below is a geometry-optimized Ac12I3N5 structure, with properties calculated at the PBE-GGA level.

Values from the calculation:
Formation energy (no corrections) (eV/atom): -0.698

a b c (Å): 15.1005 15.1005 15.1005
angles (deg): 109.47 109.47 109.47
Element x y z (fractional)
Ac 0.8051 0.4941 0.3935
Ac 0.5059 0.3110 0.8994
Ac 0.3110 0.5059 0.3994
Ac 0.6890 0.1949 0.5884
Ac 0.5884 0.6949 0.6890
Ac 0.5884 0.8935 0.3994
Ac 0.1949 0.5059 0.6065
Ac 0.3110 0.8051 0.4116
Ac 0.1065 0.6949 0.5059
Ac 0.3935 0.9941 0.8051
Ac 0.6065 0.0059 0.1949
Ac 0.1890 0.1006 0.9941
Ac 0.8110 0.8994 0.0059
Ac 0.4941 0.6890 0.1006
Ac 0.8110 0.9116 0.3051
Ac 0.0059 0.6065 0.6949
Ac 0.8994 0.0884 0.8935
Ac 0.6949 0.1065 0.0059
Ac 0.8935 0.3051 0.4941
Ac 0.3994 0.0059 0.3110
Ac 0.8051 0.3110 0.9116
Ac 0.9941 0.6006 0.1890
Ac 0.3051 0.4116 0.8110
Ac 0.1949 0.6890 0.0884
Ac 0.3935 0.3994 0.0884
Ac 0.1890 0.0884 0.6949
Ac 0.8935 0.5884 0.8994
Ac 0.3051 0.8935 0.9941
Ac 0.0884 0.8994 0.3935
Ac 0.3994 0.3935 0.5884
Ac 0.1006 0.1890 0.4941
Ac 0.4941 0.8051 0.8935
Ac 0.1065 0.4116 0.1006
Ac 0.8994 0.8110 0.5059
Ac 0.9116 0.1006 0.6065
Ac 0.6065 0.6006 0.9116
Ac 0.6006 0.6065 0.4116
Ac 0.4116 0.1065 0.6006
Ac 0.1006 0.9116 0.1065
Ac 0.9116 0.8110 0.8051
Ac 0.9941 0.3935 0.3051
Ac 0.5059 0.1949 0.1065
Ac 0.6949 0.5884 0.1890
Ac 0.4116 0.3051 0.3110
Ac 0.0884 0.1890 0.1949
Ac 0.0059 0.3994 0.8110
Ac 0.6890 0.4941 0.6006
Ac 0.6006 0.9941 0.6890
I 0.6250 0.3750 0.7500
I 0.8750 0.7500 0.1250
I 0.3750 0.6250 0.2500
I 0.3750 0.7500 0.6250
I 0.1250 0.2500 0.8750
I 0.2500 0.6250 0.8750
I 0.8750 0.1250 0.2500
I 0.1250 0.8750 0.7500
I 0.7500 0.8750 0.6250
I 0.2500 0.1250 0.3750
I 0.7500 0.3750 0.1250
I 0.6250 0.2500 0.3750
N 0.0000 0.0000 0.0000
N 0.0000 0.5000 0.5000
N 0.7500 0.1250 0.8750
N 0.5000 0.0000 0.5000
N 0.7500 0.6250 0.3750
N 0.8750 0.6250 0.7500
N 0.1250 0.7500 0.3750
N 0.2500 0.3750 0.6250
N 0.5000 0.0000 0.0000
N 0.3750 0.1250 0.7500
N 0.0000 0.0000 0.5000
N 0.0000 0.5000 0.0000
N 0.5000 0.5000 0.5000
N 0.5000 0.5000 0.0000
N 0.2500 0.8750 0.1250
N 0.8750 0.2500 0.6250
N 0.3750 0.2500 0.1250
N 0.1250 0.3750 0.2500
N 0.6250 0.7500 0.8750
N 0.6250 0.8750 0.2500

***

Below is a geometry-optimized Mo2IrOs structure, with properties calculated at the PBE-GGA level.

Values from the calculation:
ΔE_f (kJ/mol of formula units): -7
Polymorph energy (0 for the lowest one) (meV/atom): 114

a b c (Å): 2.7562 4.7877 5.5650
angles (deg): 55.13 90.00 90.00
Element x y z (fractional)
Mo 0.5000 0.5000 0.0000
Mo 0.0000 0.0000 0.0000
Os 0.5000 0.5000 0.5000
Ir 0.0000 0.0000 0.5000

***

Below is a geometry-optimized PRhSe structure, with properties calculated at the PBE-GGA level.

Values from the calculation:
Formation energy (no corrections) (eV/atom): 0.317

a b c (Å): 4.1743 4.1743 4.1743
angles (deg): 60.00 60.00 60.00
Element x y z (fractional)
Rh 0.0000 0.0000 0.0000
P 0.2500 0.2500 0.2500
Se 0.5000 0.5000 0.5000

***

Below is a geometry-optimized Ho12Si3H5 structure, with properties calculated at the PBE-GGA level.

Values from the calculation:
E (eV per atom): -4.76

a b c (Å): 13.0267 13.0267 13.0267
angles (deg): 109.47 109.47 109.47
Element x y z (fractional)
H 0.0000 0.5000 0.0000
H 0.2500 0.8750 0.1250
H 0.5000 0.0000 0.5000
H 0.8750 0.6250 0.7500
H 0.1250 0.7500 0.3750
H 0.5000 0.5000 0.0000
H 0.3750 0.2500 0.1250
H 0.3750 0.1250 0.7500
H 0.2500 0.3750 0.6250
H 0.5000 0.5000 0.5000
H 0.6250 0.8750 0.2500
H 0.7500 0.1250 0.8750
H 0.8750 0.2500 0.6250
H 0.1250 0.3750 0.2500
H 0.0000 0.0000 0.5000
H 0.0000 0.5000 0.5000
H 0.7500 0.6250 0.3750
H 0.0000 0.0000 0.0000
H 0.5000 0.0000 0.0000
H 0.6250 0.7500 0.8750
Ho 0.4058 0.0224 0.3092
Ho 0.2867 0.4034 0.8092
Ho 0.2133 0.6908 0.0966
Ho 0.7133 0.5966 0.1908
Ho 0.4034 0.1167 0.5942
Ho 0.8092 0.9034 0.2867
Ho 0.7867 0.4776 0.3833
Ho 0.6908 0.4776 0.5942
Ho 0.1908 0.0966 0.7133
Ho 0.4034 0.2867 0.3092
Ho 0.1167 0.4034 0.0942
Ho 0.3092 0.7867 0.4034
Ho 0.0942 0.9034 0.1167
Ho 0.0966 0.1908 0.2133
Ho 0.4776 0.6908 0.0942
Ho 0.9058 0.8092 0.5224
Ho 0.4058 0.3833 0.5966
Ho 0.4776 0.7867 0.8833
Ho 0.6167 0.5942 0.9034
Ho 0.5966 0.8833 0.4058
Ho 0.0224 0.6167 0.7133
Ho 0.0224 0.4058 0.8092
Ho 0.2133 0.5224 0.6167
Ho 0.8092 0.9058 0.0224
Ho 0.7867 0.3092 0.9034
Ho 0.3833 0.4058 0.0966
Ho 0.8833 0.5966 0.9058
Ho 0.6908 0.2133 0.5966
Ho 0.1167 0.7133 0.5224
Ho 0.5224 0.3092 0.9058
Ho 0.0942 0.1908 0.4776
Ho 0.5966 0.7133 0.6908
Ho 0.9776 0.5942 0.1908
Ho 0.9776 0.3833 0.2867
Ho 0.9034 0.0942 0.6167
Ho 0.5224 0.2133 0.1167
Ho 0.6167 0.0224 0.2133
Ho 0.2867 0.8833 0.9776
Ho 0.5942 0.9776 0.6908
Ho 0.5942 0.6167 0.4034
Ho 0.7133 0.1167 0.0224
Ho 0.1908 0.0942 0.9776
Ho 0.3092 0.5224 0.4058
Ho 0.8833 0.2867 0.4776
Ho 0.0966 0.9058 0.3833
Ho 0.9058 0.0966 0.8833
Ho 0.9034 0.8092 0.7867
Ho 0.3833 0.9776 0.7867
Si 0.2500 0.6250 0.8750
Si 0.6250 0.3750 0.7500
Si 0.1250 0.8750 0.7500
Si 0.8750 0.7500 0.1250
Si 0.3750 0.7500 0.6250
Si 0.8750 0.1250 0.2500
Si 0.1250 0.2500 0.8750
Si 0.2500 0.1250 0.3750
Si 0.7500 0.3750 0.1250
Si 0.3750 0.6250 0.2500
Si 0.6250 0.2500 0.3750
Si 0.7500 0.8750 0.6250

***

Below is a geometry-optimized Cr2Cd2H structure, with properties calculated at the PBE-GGA level.

Values from the calculation:
E (eV per atom): -4.33

a b c (Å): 5.3750 5.3750 4.9445
angles (deg): 90.00 90.00 90.00
Each line ends with the local moment (μB).
Element x y z (fractional)
H 0.0000 0.0000 0.0000  -0.02
H 0.5000 0.5000 0.0000  -0.02
Cr 0.3597 0.8597 0.0000  1.25
Cr 0.6403 0.1403 0.0000  1.25
Cr 0.8597 0.6403 0.0000  1.25
Cr 0.1403 0.3597 0.0000  1.25
Cd 0.8220 0.3220 0.5000  -0.02
Cd 0.3220 0.1780 0.5000  -0.02
Cd 0.1780 0.6780 0.5000  -0.02
Cd 0.6780 0.8220 0.5000  -0.02

***

Below is a geometry-optimized Hf3Ge4 structure, with properties calculated at the PBE-GGA level.

Values from the calculation:
ΔE_f (kJ/mol of formula units): -211

a b c (Å): 3.7750 3.7750 9.8926
angles (deg): 101.00 101.00 90.00
Element x y z (fractional)
Hf 0.0000 0.0000 0.0000
Hf 0.2932 0.2932 0.5865
Hf 0.7068 0.7068 0.4135
Ge 0.1503 0.1503 0.3006
Ge 0.8497 0.8497 0.6994
Ge 0.4364 0.4364 0.8729
Ge 0.5636 0.5636 0.1271

***

Below is a geometry-optimized Sm6Dy2Pu structure, with properties calculated at the PBE-GGA level.

Values from the calculation:
ΔE_f (kJ/mol of formula units): 184

a b c (Å): 6.5619 8.4259 16.1933
angles (deg): 137.91 90.00 90.00
Each line ends with the local moment (μB).
Element x y z (fractional)
Sm 0.3282 0.2586 0.4919  0.04
Sm 0.3220 0.2020 0.0434  0.01
Sm 0.4643 0.2826 0.7016  0.07
Sm 0.1780 0.7020 0.5434  0.01
Sm 0.0357 0.7826 0.2016  0.07
Sm 0.8220 0.2980 0.4566  0.01
Sm 0.1718 0.7586 0.9919  0.04
Sm 0.6718 0.7414 0.5081  0.04
Sm 0.5357 0.7174 0.2984  0.07
Sm 0.9643 0.2174 0.7984  0.07
Sm 0.8282 0.2414 0.0081  0.04
Sm 0.6780 0.7980 0.9566  0.01
Dy 0.0370 0.6600 0.7492  -0.05
Dy 0.9630 0.3399 0.2508  -0.05
Dy 0.5370 0.8400 0.7508  -0.05
Dy 0.4630 0.1600 0.2492  -0.05
Pu 0.0000 0.0000 0.5000  5.58
Pu 0.5000 0.5000 0.0000  5.58

***

Below is a geometry-optimized CrIn3Cl6 structure, with properties calculated at the PBE-GGA level.

Values from the calculation:
Formation energy (no corrections) (eV/atom): -0.934
Polymorph energy (0 for the lowest one) (meV/atom): 9

a b c (Å): 8.6036 8.6036 8.6036
angles (deg): 91.94 91.94 91.94
Each line ends with the local moment (μB).
Element x y z (fractional)
In 0.2464 0.5727 0.0794  0.00
In 0.9206 0.7536 0.4273  0.00
In 0.4273 0.9206 0.7536  0.00
In 0.0794 0.2464 0.5727  0.00
In 0.5727 0.0794 0.2464  0.00
In 0.7536 0.4273 0.9206  0.00
Cl 0.0829 0.2585 0.9432  -0.02
Cl 0.2585 0.9432 0.0829  -0.02
Cl 0.5675 0.7645 0.4540  -0.02
Cl 0.7645 0.4540 0.5675  -0.02
Cl 0.5460 0.4325 0.2355  -0.02
Cl 0.2355 0.5460 0.4325  -0.02
Cl 0.4540 0.5675 0.7645  -0.02
Cl 0.4325 0.2355 0.5460  -0.02
Cl 0.9171 0.7415 0.0568  -0.02
Cl 0.7415 0.0568 0.9171  -0.02
Cl 0.9432 0.0829 0.2585  -0.02
Cl 0.0568 0.9171 0.7415  -0.02
Cr 0.0000 0.0000 0.0000  2.86
Cr 0.5000 0.5000 0.5000  2.86

***

Below is a geometry-optimized Li5B8C8 structure, with properties calculated at the PBE-GGA level.

Values from the calculation:
ΔE_f (kJ/mol of formula units): -282
Polymorph energy (0 for the lowest one) (meV/atom): 6

a b c (Å): 7.7452 7.7516 4.6956
angles (deg): 90.08 89.92 138.93
Element x y z (fractional)
Li 0.9990 0.5001 0.4991
Li 0.2588 0.7579 0.0003
Li 0.7427 0.2432 0.9997
Li 0.7720 0.7706 0.4992
Li 0.4761 0.4770 0.0006
C 0.6256 0.3762 0.3296
C 0.3784 0.1228 0.8353
C 0.8777 0.6216 0.8280
C 0.3750 0.6247 0.6707
C 0.1197 0.3822 0.1684
C 0.6251 0.8744 0.1683
C 0.1266 0.8710 0.3330
C 0.8725 0.1275 0.6671
B 0.6242 0.3707 0.6669
B 0.1305 0.8759 0.6692
B 0.3737 0.1228 0.1724
B 0.3736 0.6276 0.3333
B 0.6266 0.8757 0.8306
B 0.8763 0.6257 0.1675
B 0.8735 0.1275 0.3307
B 0.1223 0.3746 0.8303

***

Below is a geometry-optimized Ca2Mg3Ga2 structure, with properties calculated at the PBE-GGA level.

Values from the calculation:
ΔE_f (kJ/mol of formula units): -188
Polymorph energy (0 for the lowest one) (meV/atom): 0

a b c (Å): 4.5186 5.9080 7.7069
angles (deg): 112.32 90.00 112.48
Element x y z (fractional)
Mg 0.6254 0.2507 0.4331
Mg 0.3746 0.7493 0.5669
Mg 0.5000 0.0000 0.0000
Ga 0.1478 0.2956 0.2047
Ga 0.8522 0.7044 0.7953
Ca 0.8551 0.7103 0.2179
Ca 0.1449 0.2897 0.7821

***

Below is a geometry-optimized Ba8Tl2Ir structure, with properties calculated at the PBE-GGA level.

Values from the calculation:
ΔE_f (kJ/mol of formula units): -176
Polymorph energy (0 for the lowest one) (meV/atom): 31

a b c (Å): 6.0714 8.0166 10.9205
angles (deg): 106.64 106.14 90.00
Element x y z (fractional)
Ba 0.0252 0.8017 0.0504
Ba 0.6463 0.9481 0.2927
Ba 0.5904 0.3991 0.1807
Ba 0.7863 0.7071 0.5727
Ba 0.9748 0.1983 0.9496
Ba 0.2137 0.2929 0.4273
Ba 0.3537 0.0519 0.7073
Ba 0.4096 0.6009 0.8193
Tl 0.1822 0.7108 0.3644
Tl 0.8178 0.2892 0.6356
Ir 0.5000 0.0000 0.0000